# 1
A plane-wave DFT calculation with PBE-GGA was carried out for a geometry-optimized RbPmO3 structure.

The structure in POSCAR format:
```
RbPmO3
1.0
4.5663 0.0000 0.0000
0.0000 4.5663 0.0000
0.0000 0.0000 4.5665
Rb Pm O
1 1 3
Direct
0.0000 0.0000 0.0000
0.5000 0.5000 0.4981
0.0000 0.5000 0.4957
0.5000 0.0000 0.4957
0.5000 0.5000 0.9980
```

***

# 2
A plane-wave DFT calculation with PBE-GGA was carried out for a geometry-optimized SrAlCdGa2 structure.

The structure in POSCAR format:
```
SrAlCdGa2
1.0
-2.2168 2.2168 5.7176
2.2168 -2.2168 5.7176
2.2168 2.2168 -5.7176
Sr Al Cd Ga
1 1 1 2
Direct
0.0000 0.0000 0.0000
0.2500 0.7500 0.5000
0.7500 0.2500 0.5000
0.3891 0.3891 0.0000
0.6109 0.6109 0.0000
```

***

# 3
A plane-wave DFT calculation with PBE-GGA was carried out for a geometry-optimized Zr2HgO4 structure.

The structure in POSCAR format:
```
Zr2HgO4
1.0
6.9052 -1.6792 0.0000
6.9052 1.6792 0.0000
-6.2233 0.0000 8.5763
Zr Hg O
4 2 8
Direct
0.1399 0.1399 0.3298
0.3514 0.3514 0.9697
0.6486 0.6486 0.0303
0.8601 0.8601 0.6702
0.4316 0.4316 0.3396
0.5684 0.5684 0.6604
0.1639 0.1639 0.9265
0.2010 0.2010 0.1958
0.3259 0.3259 0.5316
0.4636 0.4636 0.8493
0.5364 0.5364 0.1507
0.6741 0.6741 0.4684
0.7990 0.7990 0.8042
0.8361 0.8361 0.0735
```

Values from the calculation:
Excess energy over the best structure of this formula in the dataset ... 0.000 eV/atom

***

# 4
A plane-wave DFT calculation with PBE-GGA was carried out for a geometry-optimized Gd3Mg2Al2CdPd structure.

The structure in POSCAR format:
```
Gd3Mg2Al2CdPd
1.0
4.4401 0.0000 0.0000
0.0000 6.3820 3.7020
0.0000 -6.3820 3.7020
Gd Mg Al Cd Pd
3 2 2 1 1
Direct
0.0000 0.0000 0.0000
0.0000 0.4139 0.8219
0.0000 0.8219 0.4139
0.5000 0.1791 0.4140
0.5000 0.4140 0.1791
0.5000 0.0815 0.7462
0.5000 0.7462 0.0815
0.5000 0.6587 0.6587
0.0000 0.4029 0.4029
```

***

# 5
A plane-wave DFT calculation with PBE-GGA was carried out for a geometry-optimized MgZnFeS3 structure.

The structure in POSCAR format:
```
MgZnFeS3
1.0
1.7437 -5.9227 0.0000
1.7437 5.9227 0.0000
0.0000 0.0000 10.4549
Mg Zn Fe S
2 2 2 6
Direct
0.2264 0.7736 0.7500
0.7736 0.2264 0.2500
0.0000 0.0000 0.0000
0.0000 0.0000 0.5000
0.4847 0.5153 0.2500
0.5153 0.4847 0.7500
0.1147 0.8853 0.2500
0.3694 0.6306 0.0770
0.3694 0.6306 0.4230
0.6306 0.3694 0.5770
0.6306 0.3694 0.9230
0.8853 0.1147 0.7500
```

***

# 6
A plane-wave DFT calculation with PBE-GGA was carried out for a geometry-optimized CsK2Cu3As2 structure.

The structure in POSCAR format:
```
CsK2Cu3As2
1.0
2.9318 1.6927 6.9361
-2.9318 1.6927 6.9361
0.0000 -3.3854 6.9361
Cs K Cu As
1 2 3 2
Direct
0.0000 0.0000 0.0000
0.4113 0.4113 0.4113
0.5887 0.5887 0.5887
0.0000 0.0000 0.5000
0.0000 0.5000 0.0000
0.5000 0.0000 0.0000
0.2457 0.2457 0.2457
0.7543 0.7543 0.7543
```

***

# 7
A plane-wave DFT calculation with PBE-GGA was carried out for a geometry-optimized TbHoZn2Sn2 structure.

The structure in POSCAR format:
```
TbHoZn2Sn2
1.0
4.5047 0.0000 0.0000
-2.2523 3.9012 0.0000
0.0000 0.0000 15.7897
Tb Ho Zn Sn
2 2 4 4
Direct
0.0000 0.0000 0.0000
0.0000 0.0000 0.5000
0.0000 0.0000 0.2500
0.0000 0.0000 0.7500
0.3333 0.6667 0.1609
0.3333 0.6667 0.3391
0.6667 0.3333 0.6609
0.6667 0.3333 0.8391
0.3333 0.6667 0.6139
0.3333 0.6667 0.8861
0.6667 0.3333 0.1139
0.6667 0.3333 0.3861
```

Values from the calculation:
Excess energy over the best structure of this formula in the dataset ... 0.000 eV/atom

***

# 8
A plane-wave DFT calculation with PBE-GGA was carried out for a geometry-optimized Nd2DyMg3Tl2Hg structure.

The structure in POSCAR format:
```
Nd2DyMg3Tl2Hg
1.0
4.6824 0.0000 0.0000
0.0000 6.5657 3.8451
0.0000 -6.5657 3.8451
Nd Dy Mg Tl Hg
2 1 3 2 1
Direct
0.0000 0.2087 0.7913
0.0000 0.7913 0.2087
0.0000 0.6267 0.6267
0.5000 0.2106 0.4488
0.5000 0.4488 0.2106
0.5000 0.9740 0.9740
0.5000 0.5450 0.8717
0.5000 0.8717 0.5450
0.0000 0.2185 0.2185
```

***

# 9
A plane-wave DFT calculation with PBE-GGA was carried out for a geometry-optimized MgZnC2O6 structure.

The structure in POSCAR format:
```
MgZnC2O6
1.0
2.3286 1.3444 4.9131
-2.3286 1.3444 4.9131
0.0000 -2.6888 4.9131
Mg Zn C O
1 1 2 6
Direct
0.0000 0.0000 0.0000
0.5000 0.5000 0.5000
0.2501 0.2501 0.2501
0.7499 0.7499 0.7499
0.0235 0.7571 0.4682
0.2429 0.5318 0.9765
0.4682 0.0235 0.7571
0.5318 0.9765 0.2429
0.7571 0.4682 0.0235
0.9765 0.2429 0.5318
```

***

# 10
A plane-wave DFT calculation with PBE-GGA was carried out for a geometry-optimized Tb3CuGeS7 structure.

The structure in POSCAR format:
```
Tb3CuGeS7
1.0
9.9031 0.0000 0.0000
-4.9515 8.5763 0.0000
0.0000 0.0000 5.8241
Tb Cu Ge S
6 2 2 14
Direct
0.1328 0.7754 0.0000
0.2246 0.3573 0.0000
0.3573 0.1328 0.5000
0.6427 0.8672 0.0000
0.7754 0.6427 0.5000
0.8672 0.2246 0.5000
0.0000 0.0000 0.4376
0.0000 0.0000 0.9376
0.3333 0.6667 0.5815
0.6667 0.3333 0.0815
0.0980 0.5193 0.7428
0.0990 0.8401 0.4620
0.1599 0.2589 0.4620
0.2589 0.0990 0.9620
0.3333 0.6667 0.2037
0.4213 0.9020 0.7428
0.4807 0.5787 0.7428
0.5193 0.4213 0.2428
0.5787 0.0980 0.2428
0.6667 0.3333 0.7037
0.7411 0.9010 0.4620
0.8401 0.7411 0.9620
0.9010 0.1599 0.9620
0.9020 0.4807 0.2428
```

***

Result set for uncorrected energy: -5.8823 -2.8308 -7.8463 -3.8647 -4.4573 -3.2570 -3.8783 -3.0343 -6.8110 -5.7058 eV per atom, one per record in the order listed.